8
Lattice="-1.2862 3.2335 1.9804 -0.0239 -2.6674 4.3397 6.5791 1.8852 1.1950" Properties=species:S:1:pos:R:3 comment="ThFe2Ge | Alexandria via LeMat-Bulk | PBE-GGA | relaxed" e_tot_ev_per_atom=-7.62 magmom_total_mub_per_fu=3.4 ef_kj_per_mol_fu=-147 pbc="T T T"
Fe 5.9778 -0.2825 4.3438
Fe -0.6431 1.6168 0.9902
Fe 0.5774 -0.4997 1.1909
Fe -0.6551 0.2831 3.1601
Th 4.5347 0.6342 1.9097
Th 2.0205 -1.4165 3.6251
Ge 3.8693 0.9143 5.0679
Ge 1.3997 1.5370 2.4473


20
Lattice="5.2326 0.0000 0.0000 0.0000 9.1390 -2.6282 0.0000 0.3063 11.2291" Properties=species:S:1:pos:R:3 comment="Pr3YCd6 | Alexandria via LeMat-Bulk | PBE-GGA | relaxed" e_tot_ev_per_atom=-2.93 magmom_total_mub_per_fu=0.3 ef_kj_per_mol_fu=-286 pbc="T T T"
Pr 3.9245 4.5300 5.5774
Pr 3.9245 6.0293 0.7491
Pr 1.3082 3.4161 7.8518
Pr 3.9245 2.4671 10.5547
Pr 1.3082 6.9783 -1.9538
Pr 1.3082 4.9153 3.0235
Cd 1.3082 2.2300 4.8298
Cd 3.9245 8.0501 6.8829
Cd 1.3082 6.3492 6.1890
Cd 1.3082 1.3952 1.7180
Cd 3.9245 8.7409 -1.2884
Cd 3.9245 3.0962 2.4119
Cd 3.9245 5.3183 8.7830
Cd 1.3082 8.0169 1.2029
Cd 3.9245 1.4284 7.3980
Cd 1.3082 0.7044 9.8893
Cd 3.9245 7.2153 3.7711
Cd 1.3082 4.1270 -0.1821
Y 1.3082 8.8287 4.3082
Y 3.9245 0.6166 4.2927


3
Lattice="4.9295 -0.0103 0.0000 2.1469 4.4375 0.0000 -3.5382 -2.2136 2.6233" Properties=species:S:1:pos:R:3 comment="Pt2Pb | Alexandria via LeMat-Bulk | PBE-GGA | relaxed" e_tot_ev_per_atom=-5.21 magmom_total_mub_per_fu=0.0 ef_kj_per_mol_fu=17 pbc="T T T"
Pb 3.5382 2.2136 0.0000
Pt 5.8689 3.6718 0.0000
Pt 1.2075 0.7555 0.0000


5
Lattice="-4.4105 1.6287 -0.4731 -1.3647 -2.6253 3.6843 1.0071 3.5754 2.9208" Properties=species:S:1:pos:R:3 comment="InMoRh3 | Alexandria via LeMat-Bulk | PBE-GGA | relaxed" e_tot_ev_per_atom=-5.32 e_above_lowest_polymorph_mev_per_atom=944.6 magmom_total_mub_per_fu=0.0 ef_kj_per_mol_fu=872 pbc="T T T"
Rh -0.6824 -1.3127 1.8421
Rh 0.5035 1.7877 1.4604
Rh -2.2052 0.8144 -0.2366
Mo -2.3841 1.2894 3.0660
In 0.0000 0.0000 0.0000


10
Lattice="-0.4235 -8.1782 2.6682 8.2725 1.7203 1.6700 -4.9212 6.0863 3.8876" Properties=species:S:1:pos:R:3 comment="Rb3AgSn | Alexandria via LeMat-Bulk | PBE-GGA | relaxed" e_tot_ev_per_atom=-1.92 e_above_lowest_polymorph_mev_per_atom=0.0 magmom_total_mub_per_fu=0.0 ef_kj_per_mol_fu=14 pbc="T T T"
Rb 4.3505 4.9897 5.0677
Rb 0.8540 -0.6601 6.0375
Rb 2.0739 0.2885 2.1883
Rb -1.4226 -5.3614 3.1580
Rb 2.4980 -4.1650 3.3567
Rb 0.4299 3.7933 4.8691
Sn 6.3110 0.5501 3.4769
Sn -3.3831 -0.9218 4.7489
Ag -1.3820 0.8065 3.7009
Ag 4.3098 -1.1782 4.5249


5
Lattice="-0.4848 3.9536 -3.4707 0.2656 -3.4626 -3.9815 -5.2280 -0.5371 0.1184" Properties=species:S:1:pos:R:3 comment="AlSbTe2S | Alexandria via LeMat-Bulk | PBE-GGA | relaxed" e_tot_ev_per_atom=-3.12 e_above_lowest_polymorph_mev_per_atom=0.0 magmom_total_mub_per_fu=0.0 formation_energy_uncorrected_ev_per_atom=0.537 pbc="T T T"
S 0.0000 0.0000 0.0000
Te 0.1328 -1.7313 -1.9907
Te -0.2424 1.9768 -1.7353
Al -2.7236 -0.0230 -3.6669
Sb -2.6140 -0.2686 0.0592


5
Lattice="-3.5114 -0.2449 -0.9222 -0.2612 -3.1357 1.8273 -3.6297 1.7856 6.1680" Properties=species:S:1:pos:R:3 comment="Ti2Ga2Br | Alexandria via LeMat-Bulk | PBE-GGA | relaxed" e_tot_ev_per_atom=-4.77 e_above_lowest_polymorph_mev_per_atom=173.0 magmom_total_mub_per_fu=0.0 formation_energy_uncorrected_ev_per_atom=-0.068 pbc="T T T"
Ti -5.1568 -0.6210 5.4427
Ti -2.2456 -0.9740 1.6304
Ga -4.5137 -0.0748 2.8492
Ga -2.8886 -1.5202 4.2239
Br 0.0000 0.0000 0.0000


8
Lattice="5.2857 0.0000 0.0000 0.0000 5.2857 0.0000 0.0000 0.0000 9.0107" Properties=species:S:1:pos:R:3 comment="Pr2YCd | Alexandria via LeMat-Bulk | PBE-GGA | relaxed" e_tot_ev_per_atom=-4.39 e_above_lowest_polymorph_mev_per_atom=0.0 magmom_total_mub_per_fu=0.0 ef_kj_per_mol_fu=-61 pbc="T T T"
Cd 0.0000 0.0000 0.0000
Cd 2.6428 2.6428 0.0000
Y 2.6428 0.0000 7.0619
Y 0.0000 2.6428 1.9488
Pr 2.6428 0.0000 2.0160
Pr 2.6428 2.6428 4.5053
Pr 0.0000 0.0000 4.5053
Pr 0.0000 2.6428 6.9946


16
Lattice="4.1826 0.0000 0.0000 -2.0913 6.9570 0.0000 0.0000 0.0000 14.5354" Properties=species:S:1:pos:R:3 comment="SrLiSm2Se4 | Alexandria via LeMat-Bulk | PBE-GGA | relaxed" e_tot_ev_per_atom=-5.16 magmom_total_mub_per_fu=0.0 formation_energy_uncorrected_ev_per_atom=-1.792 pbc="T T T"
Se 0.0000 3.7859 5.5186
Se 2.0913 3.1711 12.7863
Se 0.0000 6.2310 10.9015
Se 2.0913 3.1711 9.0167
Se 0.0000 0.0000 0.0000
Se 2.0913 0.7259 3.6338
Se 0.0000 3.7859 1.7491
Se 0.0000 0.0000 7.2677
Sr 0.0000 1.6321 10.9015
Sr 2.0913 5.3248 3.6338
Li 2.0913 4.8430 10.9015
Li 0.0000 2.1139 3.6338
Sm 2.0913 1.7969 0.8370
Sm 0.0000 5.1601 13.6984
Sm 0.0000 5.1601 8.1047
Sm 2.0913 1.7969 6.4307


12
Lattice="-1.5853 5.2653 -0.7549 -6.6476 -2.5944 -4.1358 0.4883 1.1135 6.7406" Properties=species:S:1:pos:R:3 comment="CaZn3PdPt | Alexandria via LeMat-Bulk | PBE-GGA | relaxed" e_tot_ev_per_atom=-3.26 magmom_total_mub_per_fu=0.0 ef_kj_per_mol_fu=-240 pbc="T T T"
Zn -6.2590 2.5386 0.2437
Zn -5.7248 0.7077 -3.4460
Zn -2.5081 1.9632 -1.4447
Zn -4.9322 -1.9249 -3.0686
Zn -1.4855 1.2457 1.6062
Zn -1.7154 -0.6695 -1.0673
Pt -1.3851 3.9363 -0.2429
Pt -6.3594 -0.1519 2.0928
Pd -4.9531 2.6232 -1.9085
Pd -2.7915 1.1611 3.7584
Ca -2.8807 3.8393 2.2217
Ca -4.8638 -0.0550 -0.3719


10
Lattice="7.3315 0.0000 0.0000 0.0000 7.3315 0.0000 0.0000 0.0000 3.5982" Properties=species:S:1:pos:R:3 comment="Zr2AsPt2 | Alexandria via LeMat-Bulk | PBE-GGA | relaxed" e_tot_ev_per_atom=-7.59 e_above_lowest_polymorph_mev_per_atom=0.0 magmom_total_mub_per_fu=0.0 ef_kj_per_mol_fu=-397 pbc="T T T"
Zr 6.0955 2.4297 1.7991
Zr 1.2360 4.9018 1.7991
Zr 4.9018 6.0955 1.7991
Zr 2.4297 1.2360 1.7991
As 3.6658 3.6658 0.0000
As 0.0000 0.0000 0.0000
Pt 6.3715 4.6258 0.0000
Pt 2.7058 6.3715 0.0000
Pt 0.9600 2.7058 0.0000
Pt 4.6258 0.9600 0.0000


14
Lattice="-0.4810 1.2970 -5.8736 -0.8258 -4.5799 -4.0434 -5.5814 0.1244 -2.6151" Properties=species:S:1:pos:R:3 comment="LiYGeO4 | Alexandria via LeMat-Bulk | PBE-GGA | relaxed" e_tot_ev_per_atom=-7.08 e_above_lowest_polymorph_mev_per_atom=113.7 magmom_total_mub_per_fu=0.0 formation_energy_uncorrected_ev_per_atom=-2.387 pbc="T T T"
O -4.6852 -0.0168 -7.3558
O -1.9288 -0.3985 -6.1294
O -4.4468 -0.6596 -4.4445
O -2.2030 -3.1418 -5.1764
O -1.4598 -0.8251 -3.1623
O -4.9594 -2.7601 -6.4027
O -2.4414 -2.4990 -8.0876
O -5.4284 -2.3335 -9.3698
Li -2.7907 0.0622 -1.3076
Li -3.0312 0.7107 -4.2444
Y 0.0000 0.0000 0.0000
Y -3.2036 -2.2278 -3.3293
Ge -1.5702 -2.0904 -6.5324
Ge -5.3180 -1.0682 -5.9997


4
Lattice="5.1832 0.0159 0.0049 1.9243 4.8128 -0.0049 -2.9236 -3.3418 2.6740" Properties=species:S:1:pos:R:3 comment="YCr2Mo | Alexandria via LeMat-Bulk | PBE-GGA | relaxed" e_tot_ev_per_atom=-8.51 e_above_lowest_polymorph_mev_per_atom=275.6 magmom_total_mub_per_fu=0.5 ef_kj_per_mol_fu=243 pbc="T T T"
Cr 3.7128 2.5224 0.0000
Cr 6.9484 4.7205 0.0000
Y 1.2772 1.9426 1.3345
Mo 2.9066 -0.4558 1.3395


12
Lattice="4.2200 0.0000 0.0000 -2.1100 3.6546 0.0000 0.0000 0.0000 22.5801" Properties=species:S:1:pos:R:3 comment="Pm3Te2S | Alexandria via LeMat-Bulk | PBE-GGA | relaxed" e_tot_ev_per_atom=-5.62 e_above_lowest_polymorph_mev_per_atom=2.4 magmom_total_mub_per_fu=0.0 formation_energy_uncorrected_ev_per_atom=-1.512 pbc="T T T"
Pm 0.0000 2.4364 3.9163
Pm 0.0000 0.0000 11.2901
Pm 0.0000 0.0000 0.0000
Pm 2.1100 1.2182 18.6638
Pm 2.1100 1.2182 15.2063
Pm 0.0000 2.4364 7.3738
Te 0.0000 2.4364 20.6074
Te 2.1100 1.2182 9.3173
Te 2.1100 1.2182 1.9727
Te 0.0000 2.4364 13.2628
S 0.0000 0.0000 16.9351
S 0.0000 0.0000 5.6450


5
Lattice="-0.9198 2.1723 4.6076 1.1063 -4.4852 2.3355 5.0659 1.4260 0.3390" Properties=species:S:1:pos:R:3 comment="YMgPS2 | Alexandria via LeMat-Bulk | PBE-GGA | relaxed" e_tot_ev_per_atom=-4.55 e_above_lowest_polymorph_mev_per_atom=263.4 magmom_total_mub_per_fu=0.0 formation_energy_uncorrected_ev_per_atom=-0.201 pbc="T T T"
S -0.4599 1.0862 2.3038
S 0.5531 -2.2426 1.1677
Mg 2.6262 -0.4434 3.6410
P 2.5330 0.7130 0.1695
Y 0.0000 0.0000 0.0000


20
Lattice="-3.0447 -4.3951 0.0778 6.8278 -4.6144 6.5301 -5.6614 4.0778 8.8011" Properties=species:S:1:pos:R:3 comment="LaPm3Ga | Alexandria via LeMat-Bulk | PBE-GGA | relaxed" e_tot_ev_per_atom=-4.61 magmom_total_mub_per_fu=0.0 ef_kj_per_mol_fu=-80 pbc="T T T"
Pm 0.5924 -5.0887 11.3509
Pm -4.5099 -1.5654 10.7106
Pm -2.4708 0.1571 4.0580
Pm 4.3599 -4.5149 7.4488
Pm -2.2066 -3.3070 2.4621
Pm -2.0101 -3.3105 9.9592
Pm 2.6315 -3.3662 4.6984
Pm 0.2326 -4.9122 7.2424
Pm 0.3283 -1.6246 12.9468
Pm 0.1317 -1.6212 5.4497
Pm -6.2383 -0.4167 7.9601
Pm -2.1109 -0.0195 8.1666
Ga -1.6027 -0.3202 11.0673
Ga 2.1896 -6.2354 9.0814
Ga -4.0680 1.3037 6.3275
Ga -0.2756 -4.6115 4.3416
La -4.8051 1.8826 10.1811
La -3.1694 -2.5751 6.1326
La 2.9267 -6.8143 5.2278
La 1.2911 -2.3566 9.2764


6
Lattice="0.0000 4.2744 4.2744 4.2744 0.0000 4.2744 4.2744 4.2744 0.0000" Properties=species:S:1:pos:R:3 comment="Tl4FeRu | Alexandria via LeMat-Bulk | PBE-GGA | relaxed" e_tot_ev_per_atom=-3.31 magmom_total_mub_per_fu=5.6 ef_kj_per_mol_fu=707 pbc="T T T"
Tl 3.2048 3.2048 3.2048
Tl 3.2048 5.3440 5.3440
Tl 5.3440 3.2048 5.3440
Tl 5.3440 5.3440 3.2048
Fe 6.4116 6.4116 6.4116
Ru 0.0000 0.0000 0.0000


12
Lattice="-5.6507 4.5842 -1.3632 -1.2962 -6.4646 3.3663 3.2664 3.8538 5.9958" Properties=species:S:1:pos:R:3 comment="ThTl2S3 | Alexandria via LeMat-Bulk | PBE-GGA | relaxed" e_tot_ev_per_atom=-5.29 magmom_total_mub_per_fu=0.0 formation_energy_uncorrected_ev_per_atom=-1.205 pbc="T T T"
Tl -2.7477 -2.7817 1.7898
Tl -1.7906 0.8606 4.0534
Tl -0.4386 -2.5699 5.5219
Tl -3.2918 4.6698 2.4229
Th 1.9648 -2.5972 9.3562
Th -4.1938 0.8876 0.2192
S 0.8100 2.8291 5.0833
S -1.7428 1.9259 1.1258
S -2.2733 -0.2793 7.1990
S 0.0443 -1.4303 2.3764
S -3.1925 3.2314 5.5103
S -4.6872 -0.3567 2.7020


11
Lattice="-4.2181 -3.5558 -0.1529 5.5982 -4.7498 -3.3989 0.6173 0.6673 8.0390" Properties=species:S:1:pos:R:3 comment="Sm8AlRh2 | Alexandria via LeMat-Bulk | PBE-GGA | relaxed" e_tot_ev_per_atom=-5.39 magmom_total_mub_per_fu=0.0 ef_kj_per_mol_fu=-293 pbc="T T T"
Sm 2.5261 -4.1467 5.0754
Sm 1.8556 -0.6703 5.2622
Sm 3.7651 -5.4942 2.2302
Sm -1.7305 -2.1716 2.2877
Sm -0.4906 -3.5200 -0.5594
Sm 4.4037 -3.4415 -0.5891
Sm 0.4116 -5.4008 2.7371
Sm 1.6210 -2.2561 1.7744
Rh 0.0234 -2.7472 4.5458
Rh 2.0158 -4.9140 -0.0294
Al 0.0159 -0.0105 0.0119


5
Lattice="3.0925 0.0000 0.0000 0.0000 3.0925 0.0000 1.5463 1.5463 5.7868" Properties=species:S:1:pos:R:3 comment="H2Pd2Au | Alexandria via LeMat-Bulk | PBE-GGA | relaxed" e_tot_ev_per_atom=-4.16 e_above_lowest_polymorph_mev_per_atom=0.0 magmom_total_mub_per_fu=0.0 pbc="T T T"
H 1.5463 3.0925 2.8934
H 3.0925 1.5463 2.8934
Au 0.0000 0.0000 0.0000
Pd 1.5463 1.5463 1.8447
Pd 3.0925 3.0925 3.9421


6
Lattice="-4.4985 1.7491 -0.4382 -3.6589 -2.9757 -1.1162 -3.3526 -1.0738 3.3310" Properties=species:S:1:pos:R:3 comment="HfFe4Ru | Alexandria via LeMat-Bulk | PBE-GGA | relaxed" e_tot_ev_per_atom=-9.00 magmom_total_mub_per_fu=9.7 ef_kj_per_mol_fu=-90 pbc="T T T"
Fe -4.9409 -2.3174 1.3314
Fe -7.2001 -1.4390 1.1114
Fe -5.3626 0.0554 1.6719
Fe -5.5164 -0.8997 -0.5615
Hf -2.8775 -0.5751 0.4442
Ru 0.0000 0.0000 0.0000


10
Lattice="4.7191 0.0000 0.0000 0.0000 4.7191 0.0000 0.0000 0.0000 10.7496" Properties=species:S:1:pos:R:3 comment="K2NaZn3Au4 | Alexandria via LeMat-Bulk | PBE-GGA | relaxed" e_tot_ev_per_atom=-2.29 magmom_total_mub_per_fu=0.0 ef_kj_per_mol_fu=-236 pbc="T T T"
Au 2.3595 2.3595 0.0000
Au 0.0000 2.3595 3.8141
Au 0.0000 0.0000 0.0000
Au 2.3595 0.0000 6.9355
Zn 0.0000 2.3595 1.1959
Zn 0.0000 0.0000 5.3748
Zn 2.3595 0.0000 9.5537
K 0.0000 2.3595 8.1788
K 2.3595 0.0000 2.5708
Na 2.3595 2.3595 5.3748


3
Lattice="4.6619 -0.0035 0.0031 2.1039 4.1601 -0.0031 -2.9881 -2.7210 2.3240" Properties=species:S:1:pos:R:3 comment="ReTcCl | Alexandria via LeMat-Bulk | PBE-GGA | relaxed" e_tot_ev_per_atom=-7.29 e_above_lowest_polymorph_mev_per_atom=639.0 magmom_total_mub_per_fu=0.0 formation_energy_uncorrected_ev_per_atom=0.932 pbc="T T T"
Re 2.2021 1.3529 0.0000
Cl 0.0329 0.0202 0.0000
Tc 4.5307 2.7835 0.0000